#A
## Ce2SmPt2 (GGA-PBE)

Data for a relaxed Ce2SmPt2 crystal.

Unit cell a=5.943 b=6.016 c=7.350 alpha=90.00 beta=111.30 gamma=90.00
Space group C2/m (No. 12)
Symmetry-distinct sites (fractional):
Ce 0.000 0.236 0.000 [4 per cell]
Sm 0.000 0.000 0.500 [2 per cell]
Pt 0.097 0.500 0.692 [4 per cell]

Output
Magnetic moment (μB/cell): 0.00
ρ (g cm⁻³): 11.13


#B
## Ce2SmPt2 (GGA-PBE)

Data for a relaxed Ce2SmPt2 crystal.

Unit cell a=8.010 b=8.010 c=3.881 alpha=90.00 beta=90.00 gamma=90.00
Space group P4/mbm (No. 127)
Symmetry-distinct sites (fractional):
Ce 0.165 0.335 0.000 [4 per cell]
Sm 0.000 0.000 0.500 [2 per cell]
Pt 0.134 0.634 0.500 [4 per cell]

Output
Magnetic moment (μB/cell): 2.56
ρ (g cm⁻³): 10.95


#B is favored, and the nearest alternative lies 180 meV/atom above it.